1.
First-principles (PBEsol) data for a relaxed structure of FeOsSe2, as listed in Alexandria.

Values from the calculation:
Distance to the lowest polymorph of the same formula ... 3.27 eV/f.u.
Fermi-level density of states ... 1.392 states/eV/atom
E_tot ... -25.1 eV per cell
Formation energy without anion corrections ... 954.5 meV/atom
Calculated density ... 11.0 g cm⁻³

a = 4.4161 Å, b = 4.4161 Å, c = 4.4161 Å
α = 60.00°, β = 60.00°, γ = 60.00°
Last column: nearest neighbours and their distance in Å.
Element x y z (fractional)
Fe 0.5000 0.5000 0.5000  4 Se 2.70, 4 Os 2.70
Os 0.2500 0.2500 0.2500  4 Fe 2.70, 4 Se 2.70
Se 0.0000 0.0000 0.0000  4 Os 2.70, 4 Se 2.70
Se 0.7500 0.7500 0.7500  4 Se 2.70, 4 Fe 2.70

---

2.
First-principles (PBEsol) data for a relaxed structure of Hf3CoH, as listed in Alexandria.

Values from the calculation:
Distance to the lowest polymorph of the same formula ... 0.00 eV/f.u.
Fermi-level density of states ... 1.302 states/eV/atom
E_tot ... -42.6 eV per cell
Calculated density ... 13.2 g cm⁻³

a = 4.2139 Å, b = 4.2139 Å, c = 4.2139 Å
α = 90.00°, β = 90.00°, γ = 90.00°
Last column: nearest neighbours and their distance in Å.
Element x y z (fractional)
Co 0.5000 0.5000 0.5000  12 Hf 2.98
Hf 0.0000 0.5000 0.0000  2 H 2.11
Hf 0.0000 0.0000 0.5000  2 H 2.11
Hf 0.5000 0.0000 0.0000  2 H 2.11
H 0.0000 0.0000 0.0000  6 Hf 2.11

---

3.
First-principles (PBEsol) data for a relaxed structure of CrAgP2, as listed in Alexandria.

Values from the calculation:
Energy of formation from the pure elements ... -0.06 eV per atom
Fermi-level density of states ... 0.756 states/eV/atom
E_tot ... -25.4 eV per cell
Calculated density ... 6.4 g cm⁻³

a = 2.7518 Å, b = 2.9043 Å, c = 7.1799 Å
α = 89.99°, β = 90.00°, γ = 90.00°
Last column: nearest neighbours and their distance in Å.
Element x y z (fractional)
Ag 0.5000 0.0000 0.5000  4 P 2.66, 4 Ag 2.75-2.90
Cr 0.5000 0.5000 0.0000  8 P 2.40
P 0.0000 0.0001 0.8166  4 Cr 2.40, 1 P 2.63, 2 Ag 2.66
P 0.0000 0.9999 0.1834  4 Cr 2.40, 1 P 2.63, 2 Ag 2.66

---

4.
First-principles (PBEsol) data for a relaxed structure of MgSi, as listed in Alexandria.

Values from the calculation:
Fermi-level density of states ... 0.394 states/eV/atom
E_tot ... -14.7 eV per cell
Formation energy without anion corrections ... 57.3 meV/atom
Calculated density ... 2.5 g cm⁻³

a = 2.9069 Å, b = 4.4113 Å, c = 5.5634 Å
α = 90.00°, β = 105.14°, γ = 90.00°
Last column: nearest neighbours and their distance in Å.
Element x y z (fractional)
Si 0.4302 0.2500 0.8605  4 Si 2.67-2.91, 7 Mg 2.84-2.92
Si 0.5698 0.7500 0.1395  4 Si 2.67-2.91, 7 Mg 2.84-2.92
Mg 0.8339 0.7500 0.6678  7 Si 2.84-2.92, 2 Mg 2.91
Mg 0.1661 0.2500 0.3322  7 Si 2.84-2.92, 2 Mg 2.91

---

5.
First-principles (PBEsol) data for a relaxed structure of SnIr2Au2, as listed in Alexandria.

Values from the calculation:
Energy of formation from the pure elements ... 0.48 eV per atom
Fermi-level density of states ... 1.188 states/eV/atom
E_tot ... -29.4 eV per cell
Calculated density ... 16.2 g cm⁻³

a = 3.6689 Å, b = 3.6689 Å, c = 7.3234 Å
α = 104.51°, β = 104.51°, γ = 90.00°
Last column: nearest neighbours and their distance in Å.
Element x y z (fractional)
Ir 0.2500 0.7500 0.5000  4 Ir 2.59, 4 Au 2.76
Ir 0.7500 0.2500 0.5000  4 Ir 2.59, 4 Au 2.76
Au 0.4001 0.4001 0.8001  1 Au 2.74, 4 Ir 2.76, 4 Sn 2.93
Au 0.5999 0.5999 0.1999  1 Au 2.74, 4 Ir 2.76, 4 Sn 2.93
Sn 0.0000 0.0000 0.0000  8 Au 2.93

---

6.
First-principles (PBEsol) data for a relaxed structure of GaBOs2Pb, as listed in Alexandria.

Values from the calculation:
Energy of formation from the pure elements ... 3.38 eV per atom
Fermi-level density of states ... 0.984 states/eV/atom
E_tot ... -21.9 eV per cell
Calculated density ... 8.7 g cm⁻³

a = 4.9878 Å, b = 4.9878 Å, c = 5.1551 Å
α = 90.00°, β = 90.00°, γ = 90.00°
Last column: nearest neighbours and their distance in Å.
Element x y z (fractional)
Pb 0.0000 0.0000 0.0000  4 Os 2.49, 2 Ga 2.58
B 0.5000 0.5000 0.5000  4 Ga 3.53, 8 Os 3.59
Os 0.0000 0.5000 0.0000  2 Pb 2.49
Os 0.5000 0.0000 0.0000  2 Pb 2.49
Ga 0.0000 0.0000 0.5000  2 Pb 2.58

---

7.
First-principles (PBEsol) data for a relaxed structure of ZnInSN2, as listed in Alexandria.

Values from the calculation:
Distance to the lowest polymorph of the same formula ... 1.29 eV/f.u.
Fermi-level density of states ... 0.350 states/eV/atom
E_tot ... -19.0 eV per cell
Formation energy without anion corrections ... 1404.6 meV/atom
Calculated density ... 4.4 g cm⁻³

a = 4.1144 Å, b = 4.1144 Å, c = 5.3904 Å
α = 90.00°, β = 90.00°, γ = 90.00°
Last column: nearest neighbours and their distance in Å.
Element x y z (fractional)
Zn 0.5000 0.5000 0.5000  4 S 2.91
N 0.0000 0.5000 0.0000  2 In 2.06
N 0.5000 0.0000 0.0000  2 In 2.06
S 0.0000 0.0000 0.5000  2 In 2.70, 4 Zn 2.91
In 0.0000 0.0000 0.0000  4 N 2.06

---

8.
First-principles (PBEsol) data for a relaxed structure of CuW2Au, as listed in Alexandria.

Values from the calculation:
Energy of formation from the pure elements ... 0.22 eV per atom
Distance to the lowest polymorph of the same formula ... 0.00 eV/f.u.
Fermi-level density of states ... 0.478 states/eV/atom
E_tot ... -35.0 eV per cell
Calculated density ... 17.3 g cm⁻³

a = 2.6979 Å, b = 2.6979 Å, c = 8.6441 Å
α = 90.00°, β = 90.00°, γ = 106.60°
Last column: nearest neighbours and their distance in Å.
Element x y z (fractional)
Au 0.0000 0.0000 0.4882  2 Cu 2.65, 4 Au 2.70, 2 W 2.82
Cu 0.5000 0.5000 0.2451  2 W 2.59, 2 Au 2.65, 4 Cu 2.70
W 0.0000 0.0000 0.0103  2 Cu 2.59, 6 W 2.70-2.72
W 0.5000 0.5000 0.7563  6 W 2.70-2.72, 2 Au 2.82

---

9.
First-principles (PBEsol) data for a relaxed structure of YZr2Mo, as listed in Alexandria.

Values from the calculation:
Energy of formation from the pure elements ... 0.33 eV per atom
Fermi-level density of states ... 1.283 states/eV/atom
E_tot ... -35.5 eV per cell
Calculated density ... 7.2 g cm⁻³

a = 2.9887 Å, b = 4.7731 Å, c = 5.9634 Å
α = 90.00°, β = 90.00°, γ = 90.00°
Last column: nearest neighbours and their distance in Å.
Element x y z (fractional)
Mo 0.0000 0.0000 0.4796  1 Zr 2.75, 2 Mo 2.99
Y 0.5000 0.5000 0.7370  2 Zr 2.82-3.15, 2 Y 2.99
Zr 0.0000 0.0000 0.0189  1 Mo 2.75, 2 Zr 2.99
Zr 0.5000 0.5000 0.2646  2 Y 2.82-3.15, 2 Zr 2.99, 4 Mo 3.09

---

10.
First-principles (PBEsol) data for a relaxed structure of La3Sc, as listed in Alexandria.

Values from the calculation:
Energy of formation from the pure elements ... 0.06 eV per atom
Fermi-level density of states ... 1.442 states/eV/atom
E_tot ... -44.8 eV per cell
Calculated density ... 6.1 g cm⁻³

a = 5.7136 Å, b = 7.1451 Å, c = 7.1451 Å
α = 120.00°, β = 90.00°, γ = 90.00°
Last column: nearest neighbours and their distance in Å.
Element x y z (fractional)
La 0.7500 0.1715 0.3429  8 La 3.47-3.68, 4 Sc 3.49-3.57
La 0.2500 0.8285 0.6571  8 La 3.47-3.68, 4 Sc 3.49-3.57
La 0.7500 0.1715 0.8285  8 La 3.47-3.68, 4 Sc 3.49-3.57
La 0.2500 0.8285 0.1715  8 La 3.47-3.68, 4 Sc 3.49-3.57
La 0.7500 0.6571 0.8285  8 La 3.47-3.68, 4 Sc 3.49-3.57
La 0.2500 0.3429 0.1715  8 La 3.47-3.68, 4 Sc 3.49-3.57
Sc 0.7500 0.6667 0.3333  12 La 3.49-3.57
Sc 0.2500 0.3333 0.6667  12 La 3.49-3.57

---

11.
First-principles (PBEsol) data for a relaxed structure of ScHgMo2, as listed in Alexandria.

Values from the calculation:
Energy of formation from the pure elements ... 0.17 eV per atom
Fermi-level density of states ... 1.009 states/eV/atom
E_tot ... -30.0 eV per cell
Calculated density ... 10.6 g cm⁻³

a = 4.5990 Å, b = 4.5990 Å, c = 4.5990 Å
α = 60.00°, β = 60.00°, γ = 60.00°
Last column: nearest neighbours and their distance in Å.
Element x y z (fractional)
Hg 0.2500 0.2500 0.2500  4 Mo 2.82, 4 Sc 2.82
Mo 0.0000 0.0000 0.0000  4 Hg 2.82, 4 Mo 2.82
Mo 0.7500 0.7500 0.7500  4 Mo 2.82, 4 Sc 2.82
Sc 0.5000 0.5000 0.5000  4 Hg 2.82, 4 Mo 2.82

---

12.
First-principles (PBEsol) data for a relaxed structure of Na5SiP3, as listed in Alexandria.

Values from the calculation:
E_tot ... -135.2 eV per cell
Formation energy without anion corrections ... -409.5 meV/atom
Calculated density ... 2.1 g cm⁻³

a = 7.2682 Å, b = 7.8957 Å, c = 13.0198 Å
α = 89.37°, β = 90.00°, γ = 90.00°
Last column: nearest neighbours and their distance in Å.
Element x y z (fractional)
Na 0.4919 0.8132 0.7429  3 P 2.84-3.02, 1 Na 3.09, 1 Si 3.13
Na 0.9919 0.6868 0.7571  3 P 2.84-3.02, 1 Na 3.09, 1 Si 3.13
Na 0.5081 0.1868 0.2571  3 P 2.84-3.02, 1 Na 3.09, 1 Si 3.13
Na 0.0081 0.3132 0.2429  3 P 2.84-3.02, 1 Na 3.09, 1 Si 3.13
Na 0.0158 0.3271 0.5882  4 P 2.95-3.18, 4 Na 3.20-3.29, 2 Si 3.23-3.27
Na 0.5158 0.1729 0.9118  4 P 2.95-3.18, 4 Na 3.20-3.29, 2 Si 3.23-3.27
Na 0.9842 0.6729 0.4118  4 P 2.95-3.18, 4 Na 3.20-3.29, 2 Si 3.23-3.27
Na 0.4842 0.8271 0.0882  4 P 2.95-3.18, 4 Na 3.20-3.29, 2 Si 3.23-3.27
Na 0.4722 0.8381 0.4184  4 P 2.89-3.22, 1 Na 3.23
Na 0.9722 0.6619 0.0816  4 P 2.89-3.22, 1 Na 3.23
Na 0.5278 0.1619 0.5816  4 P 2.89-3.22, 1 Na 3.23
Na 0.0278 0.3381 0.9184  4 P 2.89-3.22, 1 Na 3.23
Na 0.8443 0.0778 0.7585  4 P 2.84-2.89
Na 0.3443 0.4222 0.7415  4 P 2.84-2.89
Na 0.1557 0.9222 0.2415  4 P 2.84-2.89
Na 0.6557 0.5778 0.2585  4 P 2.84-2.89
Na 0.6625 0.5770 0.5810  4 P 2.88-3.02, 1 Na 3.09
Na 0.1625 0.9230 0.9190  4 P 2.88-3.02, 1 Na 3.09
Na 0.3375 0.4230 0.4190  4 P 2.88-3.02, 1 Na 3.09
Na 0.8375 0.0770 0.0810  4 P 2.88-3.02, 1 Na 3.09
Si 0.3618 0.4287 0.0833  4 P 2.26-2.33
Si 0.8618 0.0713 0.4167  4 P 2.26-2.33
Si 0.6382 0.5713 0.9167  4 P 2.26-2.33
Si 0.1382 0.9287 0.5833  4 P 2.26-2.33
P 0.2581 0.6625 0.5794  1 Si 2.28
P 0.7581 0.8375 0.9206  1 Si 2.28
P 0.7419 0.3375 0.4206  1 Si 2.28
P 0.2419 0.1625 0.0794  1 Si 2.28
P 0.2293 0.0777 0.7214  1 Si 2.26
P 0.7293 0.4223 0.7786  1 Si 2.26
P 0.7707 0.9223 0.2786  1 Si 2.26
P 0.2707 0.5777 0.2214  1 Si 2.26
P 0.6809 0.4139 0.0653  2 Si 2.31-2.33
P 0.1809 0.0861 0.4347  2 Si 2.31-2.33
P 0.3191 0.5861 0.9347  2 Si 2.31-2.33
P 0.8191 0.9139 0.5653  2 Si 2.31-2.33